The following is a DFT calculation (PBE-GGA) of a relaxed ErSi3Pt5 crystal.

Output
ΔE_f (raw) = -0.770 eV/atom
size of the total moment = 0.00 μB per formula unit

Structure (CIF):
```
data_ErSi3Pt5
_cell_length_a 3.958
_cell_length_b 10.942
_cell_length_c 13.864
_cell_angle_alpha 90.00
_cell_angle_beta 90.00
_cell_angle_gamma 90.00
_symmetry_space_group_name_H-M 'C m c m'
_symmetry_Int_Tables_number 63
_symmetry_space_group_name_Hall '-C 2c 2'
loop_
_atom_site_label
_atom_site_type_symbol
_atom_site_fract_x
_atom_site_fract_y
_atom_site_fract_z
Er1 Er 0.000 0.213 0.250
Si1 Si 0.000 0.055 0.750
Si2 Si 0.000 0.361 0.014
Pt1 Pt 0.000 0.000 0.000
Pt2 Pt 0.000 0.208 0.609
Pt3 Pt 0.000 0.470 0.650
```

***

The following is a DFT calculation (PBE-GGA) of a relaxed ErSi4Pt12 crystal.

Output
ΔE_f (raw) = -0.473 eV/atom
size of the total moment = 0.00 μB per formula unit

Structure (CIF):
```
data_ErSi4Pt12
_cell_length_a 8.391
_cell_length_b 8.391
_cell_length_c 8.391
_cell_angle_alpha 90.00
_cell_angle_beta 90.00
_cell_angle_gamma 90.00
_symmetry_space_group_name_H-M 'I m -3'
_symmetry_Int_Tables_number 204
_symmetry_space_group_name_Hall '-I 2 2 3'
loop_
_atom_site_label
_atom_site_type_symbol
_atom_site_fract_x
_atom_site_fract_y
_atom_site_fract_z
Er1 Er 0.000 0.000 0.000
Si1 Si 0.250 0.250 0.250
Pt1 Pt 0.000 0.339 0.161
```

***

The following is a DFT calculation (PBE-GGA) of a relaxed ErSi2Pt6 crystal.

Output
ΔE_f (raw) = -0.812 eV/atom
size of the total moment = 0.00 μB per formula unit

Structure (CIF):
```
data_ErSi2Pt6
_cell_length_a 5.5208
_cell_length_b 5.5208
_cell_length_c 6.3939
_cell_angle_alpha 90.00
_cell_angle_beta 90.00
_cell_angle_gamma 120.00
_symmetry_space_group_name_H-M 'P 6/m m m'
_symmetry_Int_Tables_number 191
_symmetry_space_group_name_Hall '-P 6 2'
loop_
_atom_site_label
_atom_site_type_symbol
_atom_site_fract_x
_atom_site_fract_y
_atom_site_fract_z
Er1 Er 0.0000 0.0000 0.0000
Si1 Si 0.3333 0.6667 0.5000
Pt1 Pt 0.0000 0.5000 0.2194
```